Ti2NbInH after structural relaxation. Source: the Alexandria database, functional PBE.

Lattice parameters (Å, degrees): 4.3566 4.3566 3.9025 90.00 90.00 90.00
With the nearest neighbours (Å) after each atom.
Element x y z (fractional)
Ti1 0.0000 0.5000 0.0000  2 H 2.18
Ti2 0.5000 0.0000 0.0000  2 H 2.18
Nb1 0.0000 0.0000 0.5000  2 H 1.95
In1 0.5000 0.5000 0.5000  8 Ti 2.92, 4 Nb 3.08
H1 0.0000 0.0000 0.0000  2 Nb 1.95, 4 Ti 2.18

The energy above the most stable polymorph in this dataset comes out at 0.000 eV/atom. The value obtained for the density of states at the Fermi level is 5.37 states/eV/f.u. As for the total energy: -33.2 eV/cell. Its volume is 74 Å³ per cell. The symmetry is P4/mmm, No. 123. As for the theoretical density: 6.8 Mg/m³.

***

Ti2NbInH after structural relaxation. Source: the Alexandria database, functional PBE.

Lattice parameters (Å, degrees): 4.0165 4.0165 4.6844 90.00 90.00 90.00
With the nearest neighbours (Å) after each atom.
Element x y z (fractional)
Ti1 0.0000 0.5000 0.0000  2 H 2.01
Ti2 0.5000 0.0000 0.0000  2 H 2.01
Nb1 0.0000 0.0000 0.5000  4 In 2.84, 8 Ti 3.09
In1 0.5000 0.5000 0.5000  2 H 2.34
H1 0.5000 0.5000 0.0000  4 Ti 2.01

The energy above the most stable polymorph in this dataset comes out at 0.189 eV/atom. The value obtained for the density of states at the Fermi level is 5.59 states/eV/f.u. As for the total energy: -32.2 eV/cell. Its volume is 76 Å³ per cell. The symmetry is P4/mmm, No. 123. As for the theoretical density: 6.7 Mg/m³.

***

Nb2VInH after structural relaxation. Source: the Alexandria database, functional PBE.

Lattice parameters (Å, degrees): 4.2088 4.2088 4.1023 90.00 90.00 90.00
With the nearest neighbours (Å) after each atom.
Element x y z (fractional)
Nb1 0.0000 0.5000 0.0000  2 H 2.10
Nb2 0.5000 0.0000 0.0000  2 H 2.10
V1 0.0000 0.0000 0.5000  2 H 2.05
In1 0.5000 0.5000 0.5000  8 Nb 2.94, 4 V 2.98
H1 0.0000 0.0000 0.0000  2 V 2.05, 4 Nb 2.10

The value obtained for the density of states at the Fermi level is 3.59 states/eV/f.u. As for the total energy: -35.5 eV/cell. Its volume is 73 Å³ per cell. The symmetry is P4/mmm, No. 123. As for the theoretical density: 8.1 Mg/m³.

***

NbV2InH after structural relaxation. Source: the Alexandria database, functional PBE.

Lattice parameters (Å, degrees): 4.1433 4.1433 3.9536 90.00 90.00 90.00
With the nearest neighbours (Å) after each atom.
Element x y z (fractional)
Nb1 0.0000 0.0000 0.0000  2 H 1.98
V1 0.0000 0.5000 0.5000  2 H 2.07
V2 0.5000 0.0000 0.5000  2 H 2.07
In1 0.5000 0.5000 0.0000  8 V 2.86, 4 Nb 2.93
H1 0.0000 0.0000 0.5000  2 Nb 1.98, 4 V 2.07

The value obtained for the density of states at the Fermi level is 4.99 states/eV/f.u. As for the total energy: -34.4 eV/cell. Its volume is 68 Å³ per cell. The symmetry is P4/mmm, No. 123. As for the theoretical density: 7.6 Mg/m³.

***

Nb2InHW after structural relaxation. Source: the Alexandria database, functional PBE.

Lattice parameters (Å, degrees): 4.3069 4.3069 4.0263 90.00 90.00 90.00
With the nearest neighbours (Å) after each atom.
Element x y z (fractional)
Nb1 0.0000 0.5000 0.0000  2 H 2.15
Nb2 0.5000 0.0000 0.0000  2 H 2.15
In1 0.0000 0.0000 0.5000  8 Nb 2.95, 4 W 3.05
H1 0.5000 0.5000 0.0000  2 W 2.01, 4 Nb 2.15
W1 0.5000 0.5000 0.5000  2 H 2.01

The value obtained for the density of states at the Fermi level is 2.54 states/eV/f.u. As for the total energy: -38.8 eV/cell. Its volume is 75 Å³ per cell. The symmetry is P4/mmm, No. 123. As for the theoretical density: 10.8 Mg/m³.

***

Y2NbInH after structural relaxation. Source: the Alexandria database, functional PBE.

Lattice parameters (Å, degrees): 4.7927 4.7927 4.3402 90.00 90.00 90.00
With the nearest neighbours (Å) after each atom.
Element x y z (fractional)
Y1 0.0000 0.5000 0.0000  2 H 2.40
Y2 0.5000 0.0000 0.0000  2 H 2.40
Nb1 0.0000 0.0000 0.5000  2 H 2.17
In1 0.5000 0.5000 0.5000  8 Y 3.23, 4 Nb 3.39
H1 0.0000 0.0000 0.0000  2 Nb 2.17, 4 Y 2.40

The value obtained for the density of states at the Fermi level is 3.05 states/eV/f.u. As for the total energy: -30.1 eV/cell. Its volume is 100 Å³ per cell. The symmetry is P4/mmm, No. 123. As for the theoretical density: 6.4 Mg/m³.

***

Nb2ZnInH after structural relaxation. Source: the Alexandria database, functional PBE.

Lattice parameters (Å, degrees): 4.0771 4.0771 4.5205 90.00 90.00 90.00
With the nearest neighbours (Å) after each atom.
Element x y z (fractional)
Nb1 0.0000 0.5000 0.0000  2 H 2.04
Nb2 0.5000 0.0000 0.0000  2 H 2.04
Zn1 0.0000 0.0000 0.5000  2 H 2.26
In1 0.5000 0.5000 0.5000  4 Zn 2.88, 8 Nb 3.04
H1 0.0000 0.0000 0.0000  4 Nb 2.04, 2 Zn 2.26

The value obtained for the density of states at the Fermi level is 3.26 states/eV/f.u. As for the total energy: -27.5 eV/cell. Its volume is 75 Å³ per cell. The symmetry is P4/mmm, No. 123. As for the theoretical density: 8.1 Mg/m³.

***

Zr2NbInH after structural relaxation. Source: the Alexandria database, functional PBE.

Lattice parameters (Å, degrees): 4.6250 4.6250 4.0238 90.00 90.00 90.00
With the nearest neighbours (Å) after each atom.
Element x y z (fractional)
Zr1 0.0000 0.5000 0.0000  2 H 2.31
Zr2 0.5000 0.0000 0.0000  2 H 2.31
Nb1 0.0000 0.0000 0.5000  2 H 2.01
In1 0.5000 0.5000 0.5000  8 Zr 3.07, 4 Nb 3.27
H1 0.0000 0.0000 0.0000  2 Nb 2.01

The value obtained for the density of states at the Fermi level is 4.79 states/eV/f.u. As for the total energy: -34.7 eV/cell. Its volume is 86 Å³ per cell. The symmetry is P4/mmm, No. 123. As for the theoretical density: 7.5 Mg/m³.

***

- Number 6 is which compound?
  Y2NbInH

***

- What is the formula in the fourth record?
  NbV2InH